# 1
DFT (PBE-GGA) results for crystalline Al5Ag2 at its relaxed geometry.

For the total magnetization, the calculation gives 0.000 μB per atom. The value obtained for the energy of formation is -0.0048 eV per atom.

It has space group P-1 (No. 2), with a = 2.8598 Å, b = 4.1155 Å, c = 10.2823 Å, α = 80.04°, β = 82.21° and γ = 89.94°. The asymmetric unit holds Al at (0.0000, 0.0000, 0.0000), Al at (0.1455, 0.1455, 0.7123), Al at (0.2835, 0.2835, 0.4313) and Ag at (0.4244, 0.4234, 0.1464).


# 2
DFT (PBE-GGA) results for crystalline Al6Ag at its relaxed geometry.

For the total magnetization, the calculation gives 0.000 μB per atom. The value obtained for the energy of formation is 0.1623 eV per atom.

It has space group P4/nbm (No. 125, origin choice 2), with a = 5.4032 Å, b = 5.4032 Å, c = 8.8040 Å, α = 90.00°, β = 90.00° and γ = 90.00°. The asymmetric unit holds Al at (0.0722, 0.5722, 0.1394), Al at (0.2500, 0.2500, 0.3542) and Ag at (0.2500, 0.7500, 0.5000).


# 3
DFT (PBE-GGA) results for crystalline Al3Ag at its relaxed geometry.

For the total magnetization, the calculation gives 0.000 μB per atom. The value obtained for the energy of formation is 0.0123 eV per atom.

It has space group C2/c (No. 15), with a = 5.7707 Å, b = 15.8873 Å, c = 4.0992 Å, α = 90.00°, β = 134.18° and γ = 90.00°. The asymmetric unit holds Al at (0.0000, 0.0601, 0.2500), Al at (0.0000, 0.1868, 0.7500), Al at (0.0000, 0.4382, 0.7500) and Ag at (0.0000, 0.3144, 0.2500).


# 4
DFT (PBE-GGA) results for crystalline AlAg at its relaxed geometry.

For the total magnetization, the calculation gives 0.000 μB per atom. The value obtained for the energy of formation is -0.0308 eV per atom.

It has space group Pmmm (No. 47), with a = 2.8954 Å, b = 5.7908 Å, c = 8.1350 Å, α = 90.00°, β = 90.00° and γ = 90.00°. The asymmetric unit holds Al at (0.0000, 0.0000, 0.2401), Al at (0.5000, 0.2349, 0.5000), Ag at (0.0000, 0.5000, 0.2719) and Ag at (0.5000, 0.2508, 0.0000).


# 5
DFT (PBE-GGA) results for crystalline AlAg2 at its relaxed geometry.

For the total magnetization, the calculation gives 0.000 μB per atom. The value obtained for the energy of formation is -0.0467 eV per atom.

It has space group C2 (No. 5), with a = 8.4858 Å, b = 8.4666 Å, c = 6.0923 Å, α = 90.00°, β = 109.96° and γ = 90.00°. The asymmetric unit holds Al at (0.0802, 0.0000, 0.3339), Al at (0.1646, 0.7559, 0.6709), Ag at (0.0000, 0.2507, 0.0000), Ag at (0.0000, 0.7598, 0.0000), Ag at (0.0923, 0.5074, 0.3451), Ag at (0.1680, 0.2453, 0.6505) and Ag at (0.2485, 0.0025, 0.0120).


# 6
DFT (PBE-GGA) results for crystalline AlAg at its relaxed geometry.

For the total magnetization, the calculation gives 0.000 μB per atom. The value obtained for the energy of formation is -0.0230 eV per atom.

It has space group P4_2/mmc (No. 131), with a = 5.8281 Å, b = 5.8281 Å, c = 4.0075 Å, α = 90.00°, β = 90.00° and γ = 90.00°. The asymmetric unit holds Al at (0.0000, 0.2480, 0.0000) and Ag at (0.2422, 0.5000, 0.5000).


# 7
DFT (PBE-GGA) results for crystalline Al6Ag at its relaxed geometry.

For the total magnetization, the calculation gives 0.000 μB per atom. The value obtained for the energy of formation is -0.0007 eV per atom.

It has space group I4/mmm (No. 139), with a = 2.8661 Å, b = 2.8661 Å, c = 28.3419 Å, α = 90.00°, β = 90.00° and γ = 90.00°. The asymmetric unit holds Al at (0.0000, 0.0000, 0.0715), Al at (0.0000, 0.0000, 0.2157), Al at (0.0000, 0.0000, 0.3558) and Ag at (0.0000, 0.0000, 0.5000).


# 8
DFT (PBE-GGA) results for crystalline Al7Ag4 at its relaxed geometry.

For the total magnetization, the calculation gives 0.000 μB per atom. The value obtained for the energy of formation is -0.0106 eV per atom.

It has space group P1 (No. 1), with a = 4.9680 Å, b = 5.1201 Å, c = 7.4791 Å, α = 89.86°, β = 84.03° and γ = 80.74°. The asymmetric unit holds Al at (0.0000, 0.0000, 0.0000), Al at (0.0835, 0.8441, 0.6374), Al at (0.3687, 0.2917, 0.5453), Al at (0.4572, 0.0954, 0.1817), Al at (0.5448, 0.9256, 0.8244), Al at (0.7323, 0.5516, 0.0931), Al at (0.8242, 0.3797, 0.7314), Ag at (0.1915, 0.6476, 0.2712), Ag at (0.2780, 0.4588, 0.9029), Ag at (0.6308, 0.7517, 0.4690) and Ag at (0.9093, 0.1993, 0.3637).


# 9
DFT (PBE-GGA) results for crystalline Al7Ag3 at its relaxed geometry.

For the total magnetization, the calculation gives 0.000 μB per atom. The value obtained for the energy of formation is -0.0246 eV per atom.

It has space group P-1 (No. 2), with a = 4.9797 Å, b = 4.9911 Å, c = 7.5564 Å, α = 108.78°, β = 101.87° and γ = 99.39°. The asymmetric unit holds Al at (0.0000, 0.0000, 0.0000), Al at (0.1021, 0.2099, 0.7016), Al at (0.3039, 0.5953, 0.0967), Al at (0.4044, 0.8079, 0.8015), Ag at (0.1893, 0.3875, 0.3890) and Ag at (0.5000, 0.0000, 0.5000).


# 10
DFT (PBE-GGA) results for crystalline Al7Ag5 at its relaxed geometry.

For the total magnetization, the calculation gives 0.000 μB per atom. The value obtained for the energy of formation is -0.0281 eV per atom.

It has space group Pmm2 (No. 25), with a = 2.8973 Å, b = 8.6570 Å, c = 8.1025 Å, α = 90.00°, β = 90.00° and γ = 90.00°. The asymmetric unit holds Al at (0.0000, 0.0000, 0.0000), Al at (0.0000, 0.0000, 0.4977), Al at (0.0000, 0.3347, 0.0170), Al at (0.5000, 0.1689, 0.7543), Al at (0.5000, 0.5000, 0.2710), Ag at (0.0000, 0.3305, 0.5139), Ag at (0.5000, 0.1667, 0.2479) and Ag at (0.5000, 0.5000, 0.7826).


# 11
DFT (PBE-GGA) results for crystalline Al3Ag at its relaxed geometry.

For the total magnetization, the calculation gives 0.000 μB per atom. The value obtained for the energy of formation is 0.1130 eV per atom.

It has space group Cmcm (No. 63), with a = 7.8983 Å, b = 7.2319 Å, c = 5.1255 Å, α = 90.00°, β = 90.00° and γ = 90.00°. The asymmetric unit holds Al at (0.0000, 0.0703, 0.2500), Al at (0.1769, 0.2505, 0.7500) and Ag at (0.0000, 0.4263, 0.2500).


# 12
DFT (PBE-GGA) results for crystalline AlAg2 at its relaxed geometry.

For the total magnetization, the calculation gives 0.000 μB per atom. The value obtained for the energy of formation is 0.0394 eV per atom.

It has space group P4/mmm (No. 123), with a = 4.5655 Å, b = 4.5655 Å, c = 2.8827 Å, α = 90.00°, β = 90.00° and γ = 90.00°. The asymmetric unit holds Al at (0.0000, 0.0000, 0.0000) and Ag at (0.0000, 0.5000, 0.5000).